(P)
A plane-wave DFT calculation with PBE was carried out for crystalline KSrCu3 at its relaxed geometry.

```
5
Lattice="-3.6368 -3.7956 -1.1341 3.5301 -3.8038 1.4103 -1.7976 0.2093 5.0640" Properties=species:S:1:pos:R:3 pbc="T T T"
Cu 1.7651 -1.9019 0.7052
Cu -1.8184 -1.8978 -0.5671
Cu -0.8988 0.1047 2.5320
Sr -0.9522 -3.6951 2.6701
K 0.0000 0.0000 0.0000
```

## Properties
- Crystal system: cubic

---

(Q)
A plane-wave DFT calculation with PBE was carried out for crystalline KSrCu3 at its relaxed geometry.

```
5
Lattice="-1.5243 5.5095 0.8299 -1.8089 0.3245 -5.4763 -5.2699 -1.7050 1.6397" Properties=species:S:1:pos:R:3 pbc="T T T"
Cu -2.6349 -0.8525 0.8198
Cu -0.9044 0.1622 -2.7381
Cu -0.7621 2.7548 0.4150
Sr 0.0000 0.0000 0.0000
K -4.3015 2.0645 -1.5033
```

## Properties
- Crystal system: cubic

---

Q: Which of them is the least stable? A: (P).

---

(P)
A plane-wave DFT calculation with PBE was carried out for crystalline KSr2TlCu at its relaxed geometry.

```
5
Lattice="-0.1896 4.8059 -3.8501 3.6800 -3.0000 -3.9261 -4.1527 -2.0359 -2.3367" Properties=species:S:1:pos:R:3 pbc="T T T"
Sr 1.8400 -1.5000 -1.9630
Sr -0.0948 2.4030 -1.9251
Cu 0.0000 0.0000 0.0000
K -0.3312 -0.1150 -5.0565
Tl -2.0763 -1.0179 -1.1684
```

## Properties
- Crystal system: tetragonal

---

(Q)
A plane-wave DFT calculation with PBE was carried out for crystalline KSr2TlCu at its relaxed geometry.

```
5
Lattice="6.7906 0.0000 0.0000 0.0000 5.7699 0.0000 0.0000 0.0000 6.7906" Properties=species:S:1:pos:R:3 pbc="T T T"
K 0.0000 0.0000 0.0000
Sr 0.0000 0.0000 3.3953
Sr 3.3953 0.0000 0.0000
Cu 3.3953 2.8850 3.3953
Tl 0.0000 2.8850 0.0000
```

## Properties
- Crystal system: tetragonal

---

Q: Which of them is the least stable? A: (Q).

---

(P)
A plane-wave DFT calculation with PBE was carried out for crystalline K3TaCu at its relaxed geometry.

```
5
Lattice="6.1127 0.0000 0.0000 0.0000 6.1127 0.0000 0.0000 0.0000 6.1127" Properties=species:S:1:pos:R:3 pbc="T T T"
K 3.0564 0.0000 0.0000
K 0.0000 3.0564 0.0000
K 0.0000 0.0000 3.0564
Ta 3.0564 3.0564 3.0564
Cu 0.0000 0.0000 0.0000
```

## Properties
- Crystal system: cubic

---

(Q)
A plane-wave DFT calculation with PBE was carried out for crystalline K3TaCu at its relaxed geometry.

```
5
Lattice="-4.4754 -4.0128 2.8291 3.9369 -5.2203 -1.1767 2.9338 0.8839 5.8947" Properties=species:S:1:pos:R:3 pbc="T T T"
K -2.2377 -2.0064 1.4145
K 1.9684 -2.6102 -0.5883
K 1.4669 0.4419 2.9473
Cu 1.1976 -4.1746 3.7735
Ta 0.0000 0.0000 0.0000
```

## Properties
- Crystal system: cubic

---

Q: Which of them is the least stable? A: (Q).